No. 1
Below is SbIrBr2 after structural relaxation, with properties calculated at the GGA-PBE level.

Unit cell a=4.2098 b=5.4920 c=8.9156 alpha=90.00 beta=90.00 gamma=90.00
Space group Cmm2 (No. 35)
Symmetry-distinct sites (fractional):
1 Sb 0.0000 0.0000 0.0000
2 Ir 0.0000 0.5000 0.8319
3 Br 0.0000 0.0000 0.6382
4 Br 0.0000 0.5000 0.2519

density of states at the Fermi level: 6.776 states/eV/cell
ρ: 7.63 g/cm3
distance to the lowest polymorph of the same formula: 558.1 meV per atom
formation energy (no corrections): 0.266 eV/atom

=====

No. 2
Below is Mg2PbBr after structural relaxation, with properties calculated at the GGA-PBE level.

Unit cell a=4.0767 b=4.0767 c=23.0063 alpha=90.00 beta=90.00 gamma=120.00
Space group R-3m (No. 166, hexagonal axes)
Symmetry-distinct sites (fractional):
1 Mg 0.0000 0.0000 0.2461
2 Pb 0.0000 0.0000 0.5000
3 Br 0.0000 0.0000 0.0000

density of states at the Fermi level: 5.410 states/eV/cell
ρ: 5.05 g/cm3
distance to the lowest polymorph of the same formula: 58.9 meV per atom
formation energy (no corrections): -0.364 eV/atom

=====

No. 3
Below is HoPuAlPb after structural relaxation, with properties calculated at the GGA-PBE level.

Unit cell a=7.4626 b=7.4626 c=7.4626 alpha=90.00 beta=90.00 gamma=90.00
Space group F-43m (No. 216)
Symmetry-distinct sites (fractional):
1 Ho 0.0000 0.0000 0.0000
2 Pu 0.0000 0.0000 0.5000
3 Al 0.2500 0.2500 0.2500
4 Pb 0.2500 0.2500 0.7500

density of states at the Fermi level: 39.708 states/eV/cell
ρ: 10.28 g/cm3
calculated formation energy: -0.1777 eV/atom

=====

No. 4
Below is Ho3Th2 after structural relaxation, with properties calculated at the GGA-PBE level.

Unit cell a=6.1382 b=7.0851 c=7.9820 alpha=102.98 beta=97.49 gamma=106.78
Space group P-1 (No. 2)
Symmetry-distinct sites (fractional):
1 Ho 0.0031 0.2509 0.0007
2 Ho 0.1992 0.6515 0.4000
3 Ho 0.3994 0.0513 0.7998
4 Th 0.2045 0.1562 0.4024
5 Th 0.4019 0.5442 0.7963

density of states at the Fermi level: 13.949 states/eV/cell
ρ: 10.06 g/cm3
distance to the lowest polymorph of the same formula: 20.7 meV per atom
calculated formation energy: 0.0416 eV/atom

=====

No. 5
Below is MnIrBr2 after structural relaxation, with properties calculated at the GGA-PBE level.

Unit cell a=3.1131 b=3.1131 c=8.9558 alpha=90.00 beta=90.00 gamma=90.00
Space group P4mm (No. 99)
Symmetry-distinct sites (fractional):
1 Mn 0.0000 0.0000 0.0000
2 Ir 0.5000 0.5000 0.8326
3 Br 0.0000 0.0000 0.6261
4 Br 0.5000 0.5000 0.1982

density of states at the Fermi level: 4.666 states/eV/cell
ρ: 7.79 g/cm3
distance to the lowest polymorph of the same formula: 250.4 meV per atom
formation energy (no corrections): 0.316 eV/atom

=====

No. 6
Below is K2Hg2Te3 after structural relaxation, with properties calculated at the GGA-PBE level.

Unit cell a=17.8931 b=16.4975 c=8.1517 alpha=90.00 beta=117.08 gamma=90.00
Space group C2/c (No. 15)
Symmetry-distinct sites (fractional):
1 K 0.0000 0.0700 0.2500
2 K 0.0000 0.2132 0.7500
3 K 0.1179 0.4148 0.0992
4 Hg 0.1801 0.2265 0.6087
5 Hg 0.2207 0.0787 0.1365
6 Te 0.1072 0.3757 0.6483
7 Te 0.1404 0.2136 0.2207
8 Te 0.1555 0.0701 0.7361

ρ: 5.35 g/cm3
distance to the lowest polymorph of the same formula: 0.0 meV per atom
formation energy (no corrections): -0.579 eV/atom

=====

No. 7
Below is Ba2ZrS4 after structural relaxation, with properties calculated at the GGA-PBE level.

Unit cell a=5.1021 b=15.8214 c=4.8555 alpha=90.00 beta=90.00 gamma=90.00
Space group Cmmm (No. 65)
Symmetry-distinct sites (fractional):
1 Ba 0.0000 0.1409 0.0000
2 Zr 0.0000 0.5000 0.5000
3 S 0.0000 0.0000 0.5000
4 S 0.0000 0.3356 0.5000
5 S 0.0000 0.5000 0.0000

density of states at the Fermi level: 1.647 states/eV/cell
ρ: 4.19 g/cm3
distance to the lowest polymorph of the same formula: 129.8 meV per atom
formation energy (no corrections): -1.761 eV/atom

=====

No. 8
Below is NdYZn after structural relaxation, with properties calculated at the GGA-PBE level.

Unit cell a=3.6468 b=3.6468 c=12.4162 alpha=90.00 beta=90.00 gamma=90.00
Space group I4mm (No. 107)
Symmetry-distinct sites (fractional):
1 Nd 0.0000 0.0000 0.0000
2 Y 0.0000 0.0000 0.2867
3 Zn 0.0000 0.0000 0.6531

density of states at the Fermi level: 7.505 states/eV/cell
ρ: 6.00 g/cm3
distance to the lowest polymorph of the same formula: 0.0 meV per atom
calculated formation energy: -0.2080 eV/atom

=====

No. 9
Below is MgCuBi after structural relaxation, with properties calculated at the GGA-PBE level.

Unit cell a=4.3954 b=4.7072 c=7.5105 alpha=87.99 beta=73.11 gamma=62.28
Space group P-1 (No. 2)
Symmetry-distinct sites (fractional):
1 Mg 0.0000 0.0000 0.0000
2 Mg 0.0000 0.5000 0.5000
3 Cu 0.2385 0.4141 0.1095
4 Bi 0.4572 0.8078 0.2786

density of states at the Fermi level: 0.902 states/eV/cell
ρ: 7.54 g/cm3
calculated formation energy: -0.0481 eV/atom

=====

No. 10
Below is VReW6 after structural relaxation, with properties calculated at the GGA-PBE level.

Unit cell a=5.0270 b=5.0320 c=5.0312 alpha=90.00 beta=90.12 gamma=90.00
Space group P2/m (No. 10)
Symmetry-distinct sites (fractional):
1 V 0.0000 0.0000 0.0000
2 Re 0.5000 0.5000 0.5000
3 W 0.0000 0.2481 0.5000
4 W 0.2486 0.5000 0.0003
5 W 0.4993 0.0000 0.2484

density of states at the Fermi level: 3.467 states/eV/cell
ρ: 17.49 g/cm3
distance to the lowest polymorph of the same formula: 57.0 meV per atom
calculated formation energy: 0.0068 eV/atom

=====

No. 11
Below is Li4Mg5Cu after structural relaxation, with properties calculated at the GGA-PBE level.

Unit cell a=3.3623 b=3.3623 c=16.7165 alpha=90.00 beta=90.00 gamma=90.00
Space group P4/mmm (No. 123)
Symmetry-distinct sites (fractional):
1 Li 0.0000 0.0000 0.1026
2 Li 0.0000 0.0000 0.3094
3 Mg 0.5000 0.5000 0.0000
4 Mg 0.5000 0.5000 0.2054
5 Mg 0.5000 0.5000 0.4121
6 Cu 0.0000 0.0000 0.5000

density of states at the Fermi level: 4.498 states/eV/cell
ρ: 1.87 g/cm3
calculated formation energy: -0.0656 eV/atom

=====

No. 12
Below is PrGa4Pb after structural relaxation, with properties calculated at the GGA-PBE level.

Unit cell a=8.0941 b=8.0941 c=8.0941 alpha=90.00 beta=90.00 gamma=90.00
Space group F-43m (No. 216)
Symmetry-distinct sites (fractional):
1 Pr 0.0000 0.0000 0.0000
2 Ga 0.1248 0.1248 0.3752
3 Pb 0.2500 0.2500 0.7500

density of states at the Fermi level: 16.186 states/eV/cell
ρ: 7.85 g/cm3
calculated formation energy: -0.2501 eV/atom

=====

No. 13
Below is TbNdTm2Se6 after structural relaxation, with properties calculated at the GGA-PBE level.

Unit cell a=7.2402 b=7.2402 c=19.3866 alpha=90.00 beta=90.00 gamma=120.00
Space group R3 (No. 146, hexagonal axes)
Symmetry-distinct sites (fractional):
1 Tb 0.0000 0.0000 0.0000
2 Nd 0.0000 0.0000 0.5045
3 Tm 0.0000 0.0000 0.3053
4 Tm 0.0000 0.0000 0.8026
5 Se 0.0116 0.3125 0.3985
6 Se 0.0219 0.6421 0.5656

density of states at the Fermi level: 0.000 states/eV/cell
ρ: 6.31 g/cm3
formation energy (no corrections): -1.840 eV/atom

=====

No. 14
Below is YZn6Ag12 after structural relaxation, with properties calculated at the GGA-PBE level.

Unit cell a=11.7910 b=11.7910 c=8.9661 alpha=90.00 beta=90.00 gamma=120.00
Space group R-3m (No. 166, hexagonal axes)
Symmetry-distinct sites (fractional):
1 Y 0.0000 0.0000 0.0000
2 Zn 0.0553 0.5277 0.2437
3 Ag 0.0000 0.3841 0.5000
4 Ag 0.0829 0.1657 0.2964

density of states at the Fermi level: 23.960 states/eV/cell
ρ: 8.19 g/cm3
calculated formation energy: 0.0534 eV/atom

=====

No. 15
Below is PmThSiNi after structural relaxation, with properties calculated at the GGA-PBE level.

Unit cell a=7.1332 b=7.1332 c=7.1332 alpha=90.00 beta=90.00 gamma=90.00
Space group F-43m (No. 216)
Symmetry-distinct sites (fractional):
1 Pm 0.0000 0.0000 0.0000
2 Th 0.0000 0.0000 0.5000
3 Si 0.2500 0.2500 0.2500
4 Ni 0.2500 0.2500 0.7500

density of states at the Fermi level: 17.109 states/eV/cell
ρ: 8.49 g/cm3
formation energy (no corrections): -0.304 eV/atom

=====

No. 16
Below is Ac8Pd5Ru after structural relaxation, with properties calculated at the GGA-PBE level.

Unit cell a=9.4696 b=9.4696 c=9.5824 alpha=90.00 beta=90.00 gamma=90.00
Space group I-4 (No. 82)
Symmetry-distinct sites (fractional):
1 Ac 0.0551 0.3099 0.4368
2 Ac 0.0558 0.2027 0.8163
3 Pd 0.0000 0.0000 0.5000
4 Pd 0.1205 0.2509 0.1277
5 Ru 0.0000 0.5000 0.7500

density of states at the Fermi level: 19.579 states/eV/cell
ρ: 9.47 g/cm3
calculated formation energy: -0.6129 eV/atom

=====

No. 17
Below is PrHoH4 after structural relaxation, with properties calculated at the GGA-PBE level.

Unit cell a=3.7585 b=3.7585 c=5.3833 alpha=90.00 beta=90.00 gamma=90.00
Space group P4/mmm (No. 123)
Symmetry-distinct sites (fractional):
1 Pr 0.0000 0.0000 0.0000
2 Ho 0.5000 0.5000 0.5000
3 H 0.0000 0.5000 0.2706

density of states at the Fermi level: 1.804 states/eV/cell
ρ: 6.77 g/cm3
total energy: -0.32783 Ry per atom

=====

No. 18
Below is Pa2OsSe after structural relaxation, with properties calculated at the GGA-PBE level.

Unit cell a=3.9522 b=3.9522 c=21.2432 alpha=90.00 beta=90.00 gamma=120.00
Space group R-3m (No. 166, hexagonal axes)
Symmetry-distinct sites (fractional):
1 Pa 0.0000 0.0000 0.2409
2 Os 0.0000 0.0000 0.5000
3 Se 0.0000 0.0000 0.0000

density of states at the Fermi level: 14.627 states/eV/cell
ρ: 12.68 g/cm3
distance to the lowest polymorph of the same formula: 0.0 meV per atom
formation energy (no corrections): -0.805 eV/atom

=====

No. 19
Below is NbIrOsPb2 after structural relaxation, with properties calculated at the GGA-PBE level.

Unit cell a=5.4643 b=5.4643 c=4.7651 alpha=90.00 beta=90.00 gamma=90.00
Space group P4/mmm (No. 123)
Symmetry-distinct sites (fractional):
1 Nb 0.0000 0.0000 0.0000
2 Ir 0.0000 0.0000 0.5000
3 Os 0.5000 0.5000 0.5000
4 Pb 0.0000 0.5000 0.0000

density of states at the Fermi level: 7.524 states/eV/cell
ρ: 10.38 g/cm3
calculated formation energy: 1.9099 eV/atom

=====

No. 20
Below is Tb5Pb4N after structural relaxation, with properties calculated at the GGA-PBE level.

Unit cell a=9.4474 b=9.4474 c=6.1858 alpha=90.00 beta=90.00 gamma=90.00
Space group I4 (No. 79)
Symmetry-distinct sites (fractional):
1 Tb 0.0000 0.0000 0.0000
2 Tb 0.1106 0.2292 0.4389
3 Pb 0.0619 0.3324 0.9329
4 N 0.0000 0.0000 0.3804

density of states at the Fermi level: 10.745 states/eV/cell
ρ: 9.85 g/cm3
formation energy (no corrections): -0.560 eV/atom

=====

No. 21
Below is K2ZnAg2F6 after structural relaxation, with properties calculated at the GGA-PBE level.

Unit cell a=6.6207 b=6.6207 c=16.5184 alpha=90.00 beta=90.00 gamma=120.00
Space group R-3m (No. 166, hexagonal axes)
Symmetry-distinct sites (fractional):
1 K 0.0000 0.0000 0.2071
2 Zn 0.0000 0.0000 0.0000
3 Ag 0.0000 0.0000 0.4137
4 F 0.0540 0.5270 0.7459

density of states at the Fermi level: 0.000 states/eV/cell
ρ: 3.76 g/cm3
formation energy (no corrections): -1.920 eV/atom

=====

No. 22
Below is BaTlZnF2 after structural relaxation, with properties calculated at the GGA-PBE level.

Unit cell a=4.9615 b=4.9615 c=6.7801 alpha=90.00 beta=90.00 gamma=90.00
Space group P4/mmm (No. 123)
Symmetry-distinct sites (fractional):
1 Ba 0.0000 0.0000 0.0000
2 Tl 0.0000 0.0000 0.5000
3 Zn 0.5000 0.5000 0.0000
4 F 0.0000 0.5000 0.5000

density of states at the Fermi level: 2.339 states/eV/cell
ρ: 4.43 g/cm3
formation energy (no corrections): -1.012 eV/atom